1.
DFT (GGA-PBE) results for an optimized crystal structure of Mg3Cd4Ag.

The structure in POSCAR format:
```
Mg3Cd4Ag
1.0
3.784 0.000 0.000
0.000 4.640 -1.058
-1.892 -3.708 10.469
Mg Cd Ag
3 4 1
direct
0.882 0.683 0.764
0.118 0.317 0.236
0.000 0.500 0.000
0.750 0.748 0.500
0.250 0.252 0.500
0.622 0.827 0.244
0.378 0.173 0.756
0.500 0.000 0.000
```

Calculated values
Polymorph energy (0 for the lowest one) ... 0.0 kJ/mol of atoms

***

2.
DFT (GGA-PBE) results for an optimized crystal structure of Mg3Cd4Ag2.

The structure in POSCAR format:
```
Mg3Cd4Ag2
1.0
-0.336 -4.402 -1.847
-3.165 -2.912 7.516
-4.019 3.228 -0.760
Cd Mg Ag
4 3 2
direct
0.476 0.675 0.951
0.524 0.325 0.049
0.792 0.741 0.584
0.208 0.259 0.416
0.851 0.405 0.703
0.149 0.595 0.297
0.000 0.000 0.000
0.677 0.048 0.355
0.323 0.952 0.645
```

Calculated values
E_tot ... -1.640 eV/atom